Record 1
# AcAlGaCu3

Crystalline AcAlGaCu3 at its relaxed geometry (PBE, Alexandria).

As for the formation energy: -0.130 eV/atom. For the electronic total energy, the calculation gives -3.991 eV/atom.

The structure belongs to space group Cmcm (No. 63); the cell edges are 6.3482, 12.2165 and 6.1082 Å and the angles 90.00°, 90.00° and 90.00°. The asymmetric unit holds Ac at (0.0000, 0.2233, 0.2500), Al at (0.0000, 0.4875, 0.2500), Ga at (0.0000, 0.1215, 0.7500), Cu at (0.0000, 0.3206, 0.7500) and Cu at (0.2000, 0.0000, 0.0000).

=====

Record 2
# Ac3Al2GaCu6

Crystalline Ac3Al2GaCu6 at its relaxed geometry (PBE, Alexandria).

As for the formation energy: -0.139 eV/atom. For the electronic total energy, the calculation gives -4.090 eV/atom.

The structure belongs to space group P-3m1 (No. 164); the cell edges are 6.1806, 6.1806 and 8.1682 Å and the angles 90.00°, 90.00° and 120.00°. The asymmetric unit holds Ac at (0.0000, 0.0000, 0.0000), Ac at (0.3333, 0.6667, 0.7325), Al at (0.3333, 0.6667, 0.1306), Ga at (0.0000, 0.0000, 0.5000) and Cu at (0.1997, 0.3994, 0.3803).

=====

Record 3
# Ac2Al3GaCu4

Crystalline Ac2Al3GaCu4 at its relaxed geometry (PBE, Alexandria).

As for the formation energy: -0.340 eV/atom. For the electronic total energy, the calculation gives -4.226 eV/atom.

The structure belongs to space group P-4m2 (No. 115); the cell edges are 4.4129, 4.4129 and 10.2675 Å and the angles 90.00°, 90.00° and 90.00°. The asymmetric unit holds Ac at (0.0000, 0.5000, 0.2455), Al at (0.0000, 0.5000, 0.8799), Al at (0.5000, 0.5000, 0.5000), Ga at (0.0000, 0.0000, 0.5000), Cu at (0.0000, 0.0000, 0.0000), Cu at (0.0000, 0.5000, 0.6295) and Cu at (0.5000, 0.5000, 0.0000).

=====

Record 4
# AcAlGaCu

Crystalline AcAlGaCu at its relaxed geometry (PBE, Alexandria).

As for the formation energy: -0.386 eV/atom. For the electronic total energy, the calculation gives -4.130 eV/atom.

The structure belongs to space group R3m (No. 160, hexagonal axes); the cell edges are 4.2497, 4.2497 and 17.5261 Å and the angles 90.00°, 90.00° and 120.00°. The asymmetric unit holds Ac at (0.0000, 0.0000, 0.0000), Al at (0.0000, 0.0000, 0.7973), Ga at (0.0000, 0.0000, 0.2073) and Cu at (0.0000, 0.0000, 0.4990).

=====

Record 5
# AcAlGaCu6

Crystalline AcAlGaCu6 at its relaxed geometry (PBE, Alexandria).

As for the formation energy: 0.150 eV/atom. For the electronic total energy, the calculation gives -3.789 eV/atom.

The structure belongs to space group Imma (No. 74); the cell edges are 5.1483, 8.3992 and 14.9706 Å and the angles 90.00°, 90.00° and 90.00°. The asymmetric unit holds Ac at (0.0000, 0.2500, 0.0629), Al at (0.2500, 0.2500, 0.7500), Ga at (0.0000, 0.0000, 0.5000), Cu at (0.0000, 0.2500, 0.2710), Cu at (0.0000, 0.2500, 0.8807) and Cu at (0.2385, 0.0014, 0.6638).

=====

Record 6
# AcAlGaCu

Crystalline AcAlGaCu at its relaxed geometry (PBE, Alexandria).

As for the formation energy: -0.178 eV/atom. For the electronic total energy, the calculation gives -3.922 eV/atom.

The structure belongs to space group F-43m (No. 216); the cell edges are 7.0827, 7.0827 and 7.0827 Å and the angles 90.00°, 90.00° and 90.00°. The asymmetric unit holds Ac at (0.0000, 0.0000, 0.0000), Al at (0.0000, 0.0000, 0.5000), Ga at (0.2500, 0.2500, 0.7500) and Cu at (0.2500, 0.2500, 0.2500).

=====

Record 7
# Ac2Al3Ga4Cu

Crystalline Ac2Al3Ga4Cu at its relaxed geometry (PBE, Alexandria).

As for the formation energy: -0.439 eV/atom. For the electronic total energy, the calculation gives -4.003 eV/atom.

The structure belongs to space group P-4m2 (No. 115); the cell edges are 4.5049, 4.5049 and 10.5556 Å and the angles 90.00°, 90.00° and 90.00°. The asymmetric unit holds Ac at (0.0000, 0.5000, 0.2447), Al at (0.0000, 0.0000, 0.0000), Al at (0.0000, 0.5000, 0.6309), Ga at (0.0000, 0.0000, 0.5000), Ga at (0.0000, 0.5000, 0.8751), Ga at (0.5000, 0.5000, 0.5000) and Cu at (0.5000, 0.5000, 0.0000).

=====

Record 8
# Ac2Al4GaCu3

Crystalline Ac2Al4GaCu3 at its relaxed geometry (PBE, Alexandria).

As for the formation energy: -0.391 eV/atom. For the electronic total energy, the calculation gives -4.241 eV/atom.

The structure belongs to space group P-4m2 (No. 115); the cell edges are 4.4058, 4.4058 and 10.5165 Å and the angles 90.00°, 90.00° and 90.00°. The asymmetric unit holds Ac at (0.0000, 0.5000, 0.2489), Al at (0.0000, 0.0000, 0.5000), Al at (0.0000, 0.5000, 0.8678), Al at (0.5000, 0.5000, 0.5000), Ga at (0.5000, 0.5000, 0.0000), Cu at (0.0000, 0.0000, 0.0000) and Cu at (0.0000, 0.5000, 0.6250).

=====

Please write out number 6 again, unchanged.
# AcAlGaCu

Crystalline AcAlGaCu at its relaxed geometry (PBE, Alexandria).

As for the formation energy: -0.178 eV/atom. For the electronic total energy, the calculation gives -3.922 eV/atom.

The structure belongs to space group F-43m (No. 216); the cell edges are 7.0827, 7.0827 and 7.0827 Å and the angles 90.00°, 90.00° and 90.00°. The asymmetric unit holds Ac at (0.0000, 0.0000, 0.0000), Al at (0.0000, 0.0000, 0.5000), Ga at (0.2500, 0.2500, 0.7500) and Cu at (0.2500, 0.2500, 0.2500).

=====

Question: electronic total energy of number 1 (AcAlGaCu3)?
Answer: -3.991 eV/atom